The following is a DFT calculation (PBE) of crystalline AcPrZr at its relaxed geometry.

As for the formation energy: 8.9 kJ per mole of atoms. Its offset from the most stable computed form is 0.000 eV/atom. The density comes out at 7.38 g/cm³. The calculation puts the raw total energy at -5.719 eV/atom. The calculation puts the total magnetic moment at 0.00 μB/cell. Its volume is 34.452 Å³/atom. The density of states at the Fermi level is 1.53 states/eV/atom.

Cell and atoms, written as CIF:
```
data_AcPrZr
_chemical_formula_sum 'Ac2 Pr2 Zr2'
_cell_length_a 3.926
_cell_length_b 3.926
_cell_length_c 13.414
_cell_angle_alpha 90.00
_cell_angle_beta 90.00
_cell_angle_gamma 90.00
_symmetry_space_group_name_H-M 'P 4/n m m'
_symmetry_Int_Tables_number 129
loop_
_symmetry_equiv_pos_as_xyz
'x,y,z'
'-x,-y,-z'
'-y+1/2,x,z'
'y+1/2,-x,-z'
'-x+1/2,-y+1/2,z'
'x+1/2,y+1/2,-z'
'y,-x+1/2,z'
'-y,x+1/2,-z'
'x+1/2,-y,-z'
'-x+1/2,y,z'
'-y,-x,-z'
'y,x,z'
'-x,y+1/2,-z'
'x,-y+1/2,z'
'y+1/2,x+1/2,-z'
'-y+1/2,-x+1/2,z'
loop_
_atom_site_label
_atom_site_type_symbol
_atom_site_fract_x
_atom_site_fract_y
_atom_site_fract_z
_atom_site_occupancy
Ac1 Ac 0.250 0.250 0.107 1
Pr1 Pr 0.250 0.250 0.696 1
Zr1 Zr 0.250 0.250 0.454 1
```